Entry one
A plane-wave DFT calculation with PBE was carried out for a relaxed Ac5Tl2Ir2 crystal.

Computed properties:
space-group type: Cmce, No. 64
calculated volume: 33.46 Å³/atom

Cell lengths 9.5482, 9.5482, 8.6468 Å; angles 90.00, 90.00, 49.81 degrees
Fractional positions:
Ac 0.0000 0.0000 0.0000
Ac 0.0439 0.7242 0.6689
Ac 0.2242 0.5439 0.1689
Ac 0.2758 0.9561 0.6689
Ac 0.4561 0.7758 0.1689
Ac 0.5000 0.5000 0.5000
Ac 0.5439 0.2242 0.8311
Ac 0.7242 0.0439 0.3311
Ac 0.7758 0.4561 0.8311
Ac 0.9561 0.2758 0.3311
Tl 0.2165 0.2165 0.0000
Tl 0.2835 0.2835 0.5000
Tl 0.7165 0.7165 0.5000
Tl 0.7835 0.7835 0.0000
Ir 0.1385 0.8615 0.3682
Ir 0.3615 0.6385 0.8682
Ir 0.6385 0.3615 0.1318
Ir 0.8615 0.1385 0.6318

***

Entry two
A plane-wave DFT calculation with PBE was carried out for a relaxed Ac5Tl2Ir2 crystal.

Computed properties:
space-group type: Ima2, No. 46
calculated volume: 35.06 Å³/atom

Cell lengths 10.8937, 10.8937, 10.8937 Å; angles 66.82, 128.06, 141.00 degrees
Fractional positions:
Ac 0.1174 0.3733 0.0325
Ac 0.1174 0.5849 0.2441
Ac 0.2091 0.0548 0.2639
Ac 0.2091 0.4452 0.6543
Ac 0.3408 0.0849 0.9675
Ac 0.3408 0.8733 0.7559
Ac 0.6456 0.4893 0.6563
Ac 0.7909 0.5548 0.3457
Ac 0.7909 0.9452 0.7361
Ac 0.8330 0.9893 0.3437
Tl 0.6210 0.0947 0.3656
Tl 0.6210 0.7554 0.0263
Tl 0.7291 0.2554 0.6344
Tl 0.7291 0.5947 0.9737
Ir 0.0335 0.8957 0.6378
Ir 0.2579 0.3957 0.3622
Ir 0.2965 0.2965 0.0000
Ir 0.2965 0.7965 0.5000

***

Stability summary: most stable entry one, least stable entry two.